Computed, not measured: crystalline PmSbTe2 at its relaxed geometry at the PBE level of DFT.

Lattice parameters (Å, degrees): 4.285 4.285 10.076 77.72 77.72 60.00
Sites, in units of the cell vectors:
1 Sb 0.000 0.000 0.000
2 Pm 0.500 0.500 0.500
3 Te 0.898 0.898 0.305
4 Te 0.102 0.102 0.695

Space group: R-3m, No. 166
Raw formation energy in meV per atom: -590